1.
Here is a relaxed structure of BeZnAg from the Alexandria database. Energies are from PBE.

Results
Its space-group type is Cm (8). For the calculated formation energy, the calculation gives 0.1039 eV/atom.

Cell and atoms, written as extended XYZ:
```
12
Lattice="5.223 0.000 -0.007 0.000 4.707 0.000 -5.160 0.000 6.710" Properties=species:S:1:pos:R:3 pbc="T T T"
Be 0.811 3.529 0.728
Be -1.769 3.531 4.083
Be 0.811 1.178 0.728
Be -1.769 1.175 4.083
Ag 2.690 2.353 1.928
Ag -1.034 2.353 6.256
Ag 1.546 0.000 2.901
Ag 0.110 0.000 5.283
Zn -1.034 0.000 1.919
Zn -2.531 0.000 6.222
Zn -3.614 2.353 5.274
Zn 0.049 2.353 2.867
```

***

2.
Here is a relaxed structure of RbNpPtSe3 from the Alexandria database. Energies are from PBE.

Results
As for the formation energy without anion corrections: -0.929 eV per atom. Its space-group type is P2_1/m (11).

Cell and atoms, written as extended XYZ:
```
12
Lattice="4.112 0.000 0.000 0.000 9.281 -0.540 0.000 -2.981 9.435" Properties=species:S:1:pos:R:3 pbc="T T T"
Pt 1.028 -0.804 5.378
Pt 3.084 7.104 3.516
Rb 1.028 1.187 2.156
Rb 3.084 5.113 6.738
Np 3.084 0.464 7.734
Np 1.028 5.836 1.161
Se 3.084 0.540 4.969
Se 1.028 -1.418 7.972
Se 1.028 5.759 3.925
Se 1.028 2.467 7.754
Se 3.084 3.833 1.140
Se 3.084 7.717 0.923
```

***

3.
Here is a relaxed structure of AcH2Ir from the Alexandria database. Energies are from PBE.

Results
The electronic total energy comes out at -4.963 eV per atom. Its space-group type is R-3m (166).

Cell and atoms, written as extended XYZ:
```
4
Lattice="-2.273 -2.819 -1.647 1.271 -1.946 -3.229 1.471 -4.477 0.827" Properties=species:S:1:pos:R:3 pbc="T T T"
Ac 0.234 -4.621 -2.025
H -0.122 -1.927 -1.338
H 0.591 -7.315 -2.711
Ir 0.000 0.000 0.000
```

***

4.
Here is a relaxed structure of Ac2La7Dy2 from the Alexandria database. Energies are from PBE.

Results
Its space-group type is C2/m (12). For the calculated formation energy, the calculation gives 0.2663 eV/atom.

Cell and atoms, written as extended XYZ:
```
11
Lattice="6.837 -1.157 0.646 -1.053 9.395 0.936 -0.158 1.157 6.866" Properties=species:S:1:pos:R:3 pbc="T T T"
Ac 2.322 1.194 4.661
Ac 3.305 8.201 3.787
La 5.179 2.755 2.121
La 0.448 6.641 6.327
La 0.000 0.000 0.000
La 3.731 7.264 7.448
La -0.282 7.264 2.935
La 5.908 2.132 5.512
La 1.895 2.132 0.999
Dy 1.760 4.698 3.040
Dy 3.866 4.698 5.408
```

***

5.
Here is a relaxed structure of Cs2LiI3 from the Alexandria database. Energies are from PBE.

Results
As for the formation energy without anion corrections: -1.443 eV per atom. Its space-group type is Pnma (62).

Cell and atoms, written as extended XYZ:
```
24
Lattice="-3.000 -1.255 -3.872 7.037 -13.185 -1.180 -10.087 -6.265 9.846" Properties=species:S:1:pos:R:3 pbc="T T T"
Cs -2.816 -13.043 1.456
Cs 4.863 -11.411 -1.721
Cs -0.386 -8.769 -1.812
Cs -10.913 -9.294 6.514
Cs -0.577 -17.554 4.485
Cs -5.473 -3.150 0.309
Cs -5.664 -11.936 6.606
Cs -3.233 -7.662 3.337
Li -5.062 -15.993 4.152
Li 1.371 -12.025 1.184
Li -0.988 -4.712 0.642
Li -7.421 -8.680 3.610
I -1.725 -2.055 0.351
I 0.763 -14.417 2.430
I -0.389 -10.004 1.893
I 1.235 -5.346 -0.875
I -7.029 -8.200 6.453
I 0.979 -12.504 -1.659
I -2.887 -14.405 5.254
I -4.325 -18.649 4.442
I -6.813 -6.288 2.363
I -7.285 -15.359 5.669
I -3.163 -6.299 -0.461
I -5.661 -10.701 2.901
```

***

6.
Here is a relaxed structure of HoLuHgGe from the Alexandria database. Energies are from PBE.

Results
Its space-group type is F-43m (216). For the calculated formation energy, the calculation gives -0.5170 eV/atom.

Cell and atoms, written as extended XYZ:
```
4
Lattice="5.094 0.000 0.000 2.547 4.412 0.000 2.547 1.471 4.159" Properties=species:S:1:pos:R:3 pbc="T T T"
Lu 5.094 2.941 2.080
Hg 7.641 4.412 3.120
Ge 2.547 1.471 1.040
Ho 0.000 0.000 0.000
```

***

7.
Here is a relaxed structure of RbCoSeBr6 from the Alexandria database. Energies are from PBE.

Results
As for the formation energy without anion corrections: -0.460 eV per atom. Its space-group type is P1 (1).

Cell and atoms, written as extended XYZ:
```
9
Lattice="7.670 -0.019 0.502 3.854 5.530 0.251 0.504 -0.011 7.520" Properties=species:S:1:pos:R:3 pbc="T T T"
Br 7.090 5.414 5.682
Br 10.072 3.611 5.571
Br 5.796 3.621 2.952
Br 8.790 5.406 2.838
Br 7.062 2.044 5.800
Br 8.794 2.034 2.729
Rb 4.357 5.169 7.768
Se 4.095 2.079 4.009
Co 7.934 3.653 4.262
```

***

8.
Here is a relaxed structure of HoZrGaRu from the Alexandria database. Energies are from PBE.

Results
Its space-group type is F-43m (216). For the calculated formation energy, the calculation gives -0.4307 eV/atom.

Cell and atoms, written as extended XYZ:
```
4
Lattice="4.807 0.000 0.000 2.404 4.163 0.000 2.404 1.388 3.925" Properties=species:S:1:pos:R:3 pbc="T T T"
Ho 0.000 0.000 0.000
Zr 4.807 2.775 1.963
Ru 7.211 4.163 2.944
Ga 2.404 1.388 0.981
```

***

9.
Here is a relaxed structure of LaCeP2S8 from the Alexandria database. Energies are from PBE.

Results
As for the formation energy without anion corrections: -0.837 eV per atom. Its space-group type is P-3m1 (164).

Cell and atoms, written as extended XYZ:
```
12
Lattice="-5.481 3.139 -2.194 2.888 -4.710 -3.766 -4.955 -6.034 3.747" Properties=species:S:1:pos:R:3 pbc="T T T"
P -4.263 -1.391 -1.530
P -3.286 -6.214 -0.683
S -2.156 -4.839 -1.538
S -2.489 -1.139 -0.483
S -5.060 -6.466 -1.730
S -5.393 -2.767 -0.675
S -3.757 -5.676 1.265
S -2.306 -8.043 -0.627
S -3.791 -1.929 -3.478
S -5.242 0.438 -1.586
Ce 0.000 0.000 0.000
La -2.478 -3.017 1.873
```

***

10.
Here is a relaxed structure of NaMgSn2Au4 from the Alexandria database. Energies are from PBE.

Results
Its space-group type is R-3m (166). For the calculated formation energy, the calculation gives -0.3175 eV/atom.

Cell and atoms, written as extended XYZ:
```
8
Lattice="4.869 0.000 0.000 2.434 4.217 0.000 2.434 1.406 7.989" Properties=species:S:1:pos:R:3 pbc="T T T"
Sn 7.303 4.217 6.130
Sn 2.434 1.406 1.859
Na 0.000 0.000 0.000
Mg 4.869 2.811 3.995
Au 4.869 2.811 1.220
Au 7.303 4.217 3.221
Au 2.434 1.406 4.769
Au 4.869 2.811 6.769
```

***

11.
Here is a relaxed structure of SrLi2Co from the Alexandria database. Energies are from PBE.

Results
Its space-group type is Imm2 (44). For the calculated formation energy, the calculation gives 0.4326 eV/atom.

Cell and atoms, written as extended XYZ:
```
4
Lattice="-4.820 -1.961 1.521 -1.693 -3.319 -3.939 4.436 0.319 3.101" Properties=species:S:1:pos:R:3 pbc="T T T"
Li -0.251 -0.204 -0.093
Li -1.897 -2.203 1.679
Co -0.060 -2.661 -0.950
Sr -3.126 -2.534 -1.160
```

***

12.
Here is a relaxed structure of KNaHg6 from the Alexandria database. Energies are from PBE.

Results
Its space-group type is Amm2 (38). For the calculated formation energy, the calculation gives -0.1967 eV/atom.

Cell and atoms, written as extended XYZ:
```
8
Lattice="5.374 0.000 0.000 0.000 6.995 -0.195 0.000 -3.272 6.186" Properties=species:S:1:pos:R:3 pbc="T T T"
Hg 2.687 2.618 0.455
Hg 2.687 4.474 3.442
Hg 0.000 2.801 2.411
Hg 0.000 -0.895 2.471
Hg 2.687 6.187 0.307
Hg 0.000 1.112 5.699
K 2.687 0.967 3.551
Na 0.000 -2.375 5.628
```

***

13.
Here is a relaxed structure of LaDy8Y6 from the Alexandria database. Energies are from PBE.

Results
Its space-group type is R-3 (148). For the calculated formation energy, the calculation gives 0.1293 eV/atom.

Cell and atoms, written as extended XYZ:
```
15
Lattice="9.055 0.000 0.000 4.528 7.842 0.000 4.527 2.614 6.901" Properties=species:S:1:pos:R:3 pbc="T T T"
Dy 11.929 6.739 2.928
Dy 6.181 3.717 3.973
Dy 8.927 1.983 2.928
Dy 9.055 5.228 5.033
Dy 11.801 3.494 3.973
Dy 9.183 8.473 3.973
Dy 6.309 6.962 2.928
Dy 9.055 5.228 1.868
Y 5.131 4.525 0.849
Y 12.230 9.320 6.052
Y 2.571 2.182 0.849
Y 15.539 8.274 6.052
Y 5.880 1.136 0.849
Y 12.979 5.931 6.052
La 0.000 0.000 0.000
```

***

14.
Here is a relaxed structure of TbPmSmDy2 from the Alexandria database. Energies are from PBE.

Results
Its space-group type is Cmcm (63). For the calculated formation energy, the calculation gives 0.3909 eV/atom.

Cell and atoms, written as extended XYZ:
```
10
Lattice="-1.369 6.259 -3.195 -5.720 -3.757 -4.908 -1.229 2.984 6.372" Properties=species:S:1:pos:R:3 pbc="T T T"
Sm -3.255 5.297 -0.261
Sm -5.062 0.189 -1.470
Dy -3.931 -2.582 -3.373
Dy -2.473 1.955 -3.132
Dy -4.616 0.547 -4.971
Dy -1.788 -1.175 -1.535
Tb -5.727 3.314 -3.086
Tb -2.590 2.173 1.356
Pm -7.277 0.789 0.653
Pm -1.040 4.698 -2.384
```

***

15.
Here is a relaxed structure of Mg8SnPd5 from the Alexandria database. Energies are from PBE.

Results
Its space-group type is I-4 (82). For the calculated formation energy, the calculation gives -0.4267 eV/atom.

Cell and atoms, written as extended XYZ:
```
14
Lattice="-1.341 5.263 4.413 -4.665 -5.138 0.904 6.457 -2.366 1.297" Properties=species:S:1:pos:R:3 pbc="T T T"
Pd 2.558 1.449 2.855
Pd 0.320 -0.789 4.927
Pd -3.934 -0.573 4.884
Pd -0.798 -1.978 0.650
Pd 5.314 -1.141 2.768
Mg 0.396 -3.566 4.673
Mg 0.058 1.792 3.917
Mg 2.854 2.911 5.066
Mg -1.806 -1.037 3.149
Mg -0.480 -4.527 1.723
Mg 0.921 -0.518 2.101
Mg -3.270 -3.308 1.389
Mg 3.131 -0.708 4.441
Sn 2.175 -3.027 2.528
```

***

16.
Here is a relaxed structure of InPtSe from the Alexandria database. Energies are from PBE.

Results
As for the formation energy without anion corrections: -0.203 eV per atom. Its space-group type is P3m1 (156).

Cell and atoms, written as extended XYZ:
```
3
Lattice="-3.720 0.256 0.882 1.145 -2.336 -2.813 0.541 -3.817 3.390" Properties=species:S:1:pos:R:3 pbc="T T T"
Se -0.147 -3.800 0.486
In 0.020 -0.139 0.124
Pt -1.907 -1.957 0.848
```

***

17.
Here is a relaxed structure of Sm2Al3CuPt4 from the Alexandria database. Energies are from PBE.

Results
Its space-group type is P-4m2 (115). For the calculated formation energy, the calculation gives -0.9926 eV/atom.

Cell and atoms, written as extended XYZ:
```
10
Lattice="-0.455 1.829 3.670 2.326 -2.926 1.746 8.973 6.011 -1.883" Properties=species:S:1:pos:R:3 pbc="T T T"
Pt 5.533 4.773 0.626
Pt 0.000 0.000 0.000
Pt 0.936 -0.549 2.708
Pt 4.375 0.689 0.199
Al 7.573 6.140 0.198
Al 2.336 -0.677 0.627
Al 4.486 3.005 -0.942
Sm 7.835 3.006 -0.527
Sm 2.074 2.456 1.352
Cu 5.422 2.457 1.766
```

***

18.
Here is a relaxed structure of ScTlV from the Alexandria database. Energies are from PBE.

Results
Its space-group type is Cmcm (63). For the calculated formation energy, the calculation gives 0.1391 eV/atom.

Cell and atoms, written as extended XYZ:
```
6
Lattice="3.254 0.000 0.000 0.000 3.228 0.000 0.000 1.614 11.767" Properties=species:S:1:pos:R:3 pbc="T T T"
V 0.813 1.614 5.358
V 2.440 3.228 6.409
Tl 2.440 3.228 3.468
Tl 0.813 1.614 8.299
Sc 2.440 3.228 10.387
Sc 0.813 1.614 1.380
```

***

19.
Here is a relaxed structure of ReAgOs2 from the Alexandria database. Energies are from PBE.

Results
Its space-group type is P4/mmm (123). For the calculated formation energy, the calculation gives 0.7619 eV/atom.

Cell and atoms, written as extended XYZ:
```
4
Lattice="3.864 0.000 0.000 0.000 3.949 0.000 0.000 0.000 3.949" Properties=species:S:1:pos:R:3 pbc="T T T"
Os 0.000 0.000 0.000
Os 0.000 1.975 1.975
Ag 1.932 0.000 1.975
Re 1.932 1.975 0.000
```

***

20.
Here is a relaxed structure of FeRu4Rh from the Alexandria database. Energies are from PBE.

Results
Its space-group type is F-43m (216). For the calculated formation energy, the calculation gives 0.5919 eV/atom.

Cell and atoms, written as extended XYZ:
```
6
Lattice="-1.705 -2.274 4.159 -3.897 -3.179 -0.285 0.729 -4.942 0.648" Properties=species:S:1:pos:R:3 pbc="T T T"
Ru -1.462 -6.371 2.019
Ru -3.778 -5.488 1.552
Ru -1.827 -3.896 1.695
Ru -2.680 -5.035 3.778
Rh 0.000 0.000 0.000
Fe -3.655 -7.796 3.391
```